# 1
This record from Alexandria via LeMat-Bulk describes crystalline MoOs at its relaxed geometry. The functional is PBE-GGA.

Values from the calculation:
crystal system: trigonal
DFT formation energy: 0.276 eV per atom

Cell lengths 4.399, 4.399, 11.140 Å; angles 90.00, 90.00, 120.00 degrees
Fractional positions:
Mo 0.000 0.000 0.385
Mo 0.000 0.000 0.615
Mo 0.333 0.667 0.700
Mo 0.333 0.667 0.953
Mo 0.667 0.333 0.047
Mo 0.667 0.333 0.300
Os 0.000 0.000 0.161
Os 0.000 0.000 0.839
Os 0.333 0.667 0.446
Os 0.333 0.667 0.181
Os 0.667 0.333 0.819
Os 0.667 0.333 0.554

***

# 2
This record from Alexandria via LeMat-Bulk describes crystalline CaAcSc2 at its relaxed geometry. The functional is PBE-GGA.

Values from the calculation:
crystal system: tetragonal
energy relative to the lowest polymorph listed for this composition: 0 meV per atom
DFT formation energy: 0.194 eV per atom

Cell lengths 3.978, 3.978, 8.150 Å; angles 90.00, 90.00, 90.00 degrees
Fractional positions:
Sc 0.000 0.000 0.763
Sc 0.000 0.000 0.237
Ac 0.500 0.500 0.500
Ca 0.500 0.500 0.000

***

# 3
This record from Alexandria via LeMat-Bulk describes crystalline Ga2Ni2Ge at its relaxed geometry. The functional is PBE-GGA.

Values from the calculation:
crystal system: trigonal
energy relative to the lowest polymorph listed for this composition: 0 meV per atom
DFT formation energy: -0.315 eV per atom

Cell lengths 4.074, 4.074, 4.976 Å; angles 90.00, 90.00, 60.01 degrees
Fractional positions:
Ga 0.833 0.333 0.635
Ga 0.167 0.667 0.365
Ni 0.833 0.333 0.143
Ni 0.167 0.667 0.857
Ge 0.500 0.000 0.000

***

# 4
This record from Alexandria via LeMat-Bulk describes crystalline LaTm3Mg at its relaxed geometry. The functional is PBE-GGA.

Values from the calculation:
crystal system: monoclinic
energy relative to the lowest polymorph listed for this composition: 178 meV per atom
DFT formation energy: 0.172 eV per atom

Cell lengths 3.534, 8.697, 10.972 Å; angles 90.00, 90.00, 101.60 degrees
Fractional positions:
La 0.018 0.543 0.250
La 0.982 0.457 0.750
Tm 0.838 0.178 0.007
Tm 0.162 0.822 0.993
Tm 0.838 0.178 0.493
Tm 0.162 0.822 0.507
Tm 0.704 0.909 0.250
Tm 0.296 0.091 0.750
Mg 0.355 0.214 0.250
Mg 0.645 0.786 0.750

***

# 5
This record from Alexandria via LeMat-Bulk describes crystalline TlAg2Au2 at its relaxed geometry. The functional is PBE-GGA.

Values from the calculation:
crystal system: tetragonal
energy relative to the lowest polymorph listed for this composition: 24 meV per atom
DFT formation energy: 0.053 eV per atom

Cell lengths 4.029, 4.029, 7.377 Å; angles 74.15, 74.15, 90.00 degrees
Fractional positions:
Tl 0.000 0.000 0.000
Au 0.399 0.399 0.203
Au 0.601 0.601 0.797
Ag 0.750 0.250 0.500
Ag 0.250 0.750 0.500

***

# 6
This record from Alexandria via LeMat-Bulk describes crystalline SmInBiAu at its relaxed geometry. The functional is PBE-GGA.

Values from the calculation:
crystal system: cubic
DFT formation energy: -0.367 eV per atom

Cell lengths 5.335, 5.335, 5.335 Å; angles 60.00, 60.00, 60.00 degrees
Fractional positions:
Au 0.000 0.000 0.000
Bi 0.500 0.500 0.500
Sm 0.250 0.250 0.250
In 0.750 0.750 0.750

***

# 7
This record from Alexandria via LeMat-Bulk describes crystalline Ac5Sm2Ge4 at its relaxed geometry. The functional is PBE-GGA.

Values from the calculation:
crystal system: monoclinic
DFT formation energy: -0.272 eV per atom

Cell lengths 3.995, 8.837, 11.376 Å; angles 94.69, 100.11, 90.00 degrees
Fractional positions:
Ac 0.164 0.968 0.328
Ac 0.836 0.032 0.672
Ac 0.099 0.419 0.199
Ac 0.500 0.000 0.000
Ac 0.901 0.581 0.801
Sm 0.732 0.657 0.463
Sm 0.268 0.343 0.537
Ge 0.604 0.711 0.207
Ge 0.033 0.730 0.065
Ge 0.396 0.289 0.793
Ge 0.967 0.270 0.935

***

# 8
This record from Alexandria via LeMat-Bulk describes crystalline TaV3Mo at its relaxed geometry. The functional is PBE-GGA.

Values from the calculation:
crystal system: monoclinic
energy relative to the lowest polymorph listed for this composition: 0 meV per atom
DFT formation energy: -0.028 eV per atom

Cell lengths 4.332, 5.408, 6.796 Å; angles 97.78, 108.59, 90.00 degrees
Fractional positions:
Ta 0.800 0.858 0.601
Ta 0.200 0.142 0.399
V 0.002 0.752 0.003
V 0.998 0.248 0.997
V 0.406 0.053 0.811
V 0.594 0.947 0.189
V 0.195 0.641 0.391
V 0.805 0.359 0.609
Mo 0.600 0.450 0.199
Mo 0.400 0.550 0.801